(1)
Below is a relaxed structure of KHf2VTc, with properties calculated at the PBE level.

SG ... No. 123
E_form ... 1.563 eV per atom
Crystal system ... tetragonal
Total DFT energy (no corrections) ... -6.5345 eV per atom

The structure in POSCAR format:
```
KHf2VTc
1.0
4.944 0.000 0.000
0.000 4.944 0.000
0.000 0.000 5.557
K Hf V Tc
1 2 1 1
direct
0.000 0.000 0.000
0.000 0.500 0.500
0.500 0.000 0.500
0.500 0.500 0.000
0.000 0.000 0.500
```

(2)
Below is a relaxed structure of KY2HfTc, with properties calculated at the PBE level.

SG ... No. 123
E_form ... 0.352 eV per atom
Crystal system ... tetragonal
Total DFT energy (no corrections) ... -6.5169 eV per atom

The structure in POSCAR format:
```
KY2HfTc
1.0
5.591 0.000 0.000
0.000 5.591 0.000
0.000 0.000 5.101
K Y Hf Tc
1 2 1 1
direct
0.000 0.000 0.000
0.000 0.500 0.500
0.500 0.000 0.500
0.500 0.500 0.000
0.500 0.500 0.500
```

(3)
Below is a relaxed structure of KHfTe2, with properties calculated at the PBE level.

SG ... No. 122
Crystal system ... tetragonal
Formation energy without anion corrections ... -0.5974 eV per atom
Total DFT energy (no corrections) ... -4.9309 eV per atom

The structure in POSCAR format:
```
KHfTe2
1.0
-4.172 4.172 4.527
4.172 -4.172 4.527
4.172 4.172 -4.527
K Hf Te
2 2 4
direct
0.000 0.000 0.000
0.750 0.250 0.500
0.250 0.750 0.500
0.500 0.500 0.000
0.198 0.625 0.073
0.375 0.448 0.573
0.552 0.125 0.927
0.875 0.802 0.427
```

(4)
Below is a relaxed structure of KHf2Te2, with properties calculated at the PBE level.

SG ... No. 139
Crystal system ... tetragonal
Formation energy without anion corrections ... -0.5499 eV per atom
Total DFT energy (no corrections) ... -6.0075 eV per atom

The structure in POSCAR format:
```
KHf2Te2
1.0
-2.135 2.135 8.126
2.135 -2.135 8.126
2.135 2.135 -8.126
K Hf Te
1 2 2
direct
0.000 0.000 0.000
0.250 0.750 0.500
0.750 0.250 0.500
0.376 0.376 0.000
0.624 0.624 0.000
```

(5)
Below is a relaxed structure of K5Hf2Te6, with properties calculated at the PBE level.

SG ... No. 15
Crystal system ... monoclinic
Formation energy without anion corrections ... -0.9721 eV per atom
Total DFT energy (no corrections) ... -4.3756 eV per atom

The structure in POSCAR format:
```
K5Hf2Te6
1.0
7.123 -4.463 0.000
7.123 4.463 0.000
-4.038 0.000 18.074
K Hf Te
10 4 12
direct
0.155 0.845 0.750
0.187 0.711 0.000
0.217 0.460 0.266
0.289 0.813 0.500
0.460 0.217 0.766
0.540 0.783 0.234
0.711 0.187 0.500
0.783 0.540 0.734
0.813 0.289 0.000
0.845 0.155 0.250
0.137 0.407 0.569
0.407 0.137 0.069
0.593 0.863 0.931
0.863 0.593 0.431
0.103 0.169 0.641
0.167 0.267 0.420
0.169 0.103 0.141
0.267 0.167 0.920
0.422 0.480 0.628
0.480 0.422 0.128
0.520 0.578 0.872
0.578 0.520 0.372
0.733 0.833 0.080
0.831 0.897 0.859
0.833 0.733 0.580
0.897 0.831 0.359
```

(6)
Below is a relaxed structure of KHfTe2, with properties calculated at the PBE level.

SG ... No. 2
Crystal system ... triclinic
Formation energy without anion corrections ... -0.8417 eV per atom
Total DFT energy (no corrections) ... -5.1752 eV per atom

The structure in POSCAR format:
```
KHfTe2
1.0
4.062 0.000 0.000
0.003 7.295 0.000
2.029 1.311 8.548
K Hf Te
2 2 4
direct
0.005 0.265 0.492
0.995 0.735 0.508
0.250 0.717 0.999
0.750 0.283 0.001
0.162 0.048 0.177
0.360 0.451 0.781
0.640 0.549 0.219
0.838 0.952 0.823
```

(7)
Below is a relaxed structure of K4HfTe4, with properties calculated at the PBE level.

SG ... No. 137
Crystal system ... tetragonal
Formation energy without anion corrections ... -1.0343 eV per atom
Total DFT energy (no corrections) ... -4.0243 eV per atom

The structure in POSCAR format:
```
K4HfTe4
1.0
10.016 0.000 0.000
0.000 10.016 0.000
0.000 0.000 7.754
K Hf Te
8 2 8
direct
0.024 0.250 0.091
0.250 0.024 0.591
0.250 0.476 0.591
0.476 0.250 0.091
0.524 0.750 0.909
0.750 0.524 0.409
0.750 0.976 0.409
0.976 0.750 0.909
0.250 0.750 0.250
0.750 0.250 0.750
0.026 0.750 0.451
0.250 0.526 0.049
0.250 0.974 0.049
0.474 0.750 0.451
0.526 0.250 0.549
0.750 0.026 0.951
0.750 0.474 0.951
0.974 0.250 0.549
```

(8)
Below is a relaxed structure of KHfTe4, with properties calculated at the PBE level.

SG ... No. 15
Crystal system ... monoclinic
Formation energy without anion corrections ... -0.6124 eV per atom
Total DFT energy (no corrections) ... -4.5486 eV per atom

The structure in POSCAR format:
```
KHfTe4
1.0
5.596 -6.142 0.000
5.596 6.142 0.000
-4.170 0.000 6.140
K Hf Te
2 2 8
direct
0.123 0.877 0.750
0.877 0.123 0.250
0.496 0.504 0.750
0.504 0.496 0.250
0.197 0.326 0.799
0.197 0.523 0.366
0.326 0.197 0.299
0.477 0.803 0.134
0.523 0.197 0.866
0.674 0.803 0.701
0.803 0.477 0.634
0.803 0.674 0.201
```